1.
## MgHgRu (GGA-PBE)

Data for an optimized crystal structure of MgHgRu.

Output
As for the theoretical density: 10.341 g/cm³. As for the energy above the most stable polymorph in this dataset: 0.059 eV/atom. The calculation puts the energy of formation at 0.27 eV/atom. The energy comes out at -3.451 eV/atom. The calculation puts the total magnetic moment at 0.0 μB/cell.

Lattice parameters (Å, degrees): 4.590 4.590 2.869 90.00 90.00 120.00
Positions (direct):
Mg1 0.000 0.000 0.000
Hg1 0.667 0.333 0.734
Ru1 0.333 0.667 0.333

2.
## HoSn3Ru2 (GGA-PBE)

Data for an optimized crystal structure of HoSn3Ru2.

Output
As for the theoretical density: 9.515 g/cm³. The calculation puts the energy of formation at -0.16 eV/atom. The energy comes out at -6.021 eV/atom. The calculation puts the total magnetic moment at 0.0 μB/cell.

Lattice parameters (Å, degrees): 6.471 6.471 6.960 90.00 90.00 120.00
Positions (direct):
Ho1 0.333 0.667 0.315
Ho2 0.667 0.333 0.685
Sn1 0.169 0.338 0.714
Sn2 0.169 0.831 0.714
Sn3 0.338 0.169 0.286
Sn4 0.662 0.831 0.714
Sn5 0.831 0.169 0.286
Sn6 0.831 0.662 0.286
Ru1 0.000 0.000 0.000
Ru2 0.000 0.500 0.000
Ru3 0.500 0.000 0.000
Ru4 0.500 0.500 0.000

3.
## Ca2Ac9Dy (GGA-PBE)

Data for an optimized crystal structure of Ca2Ac9Dy.

Output
As for the theoretical density: 7.353 g/cm³. The calculation puts the energy of formation at 0.03 eV/atom. The energy comes out at -3.772 eV/atom. The calculation puts the total magnetic moment at 0.0 μB/cell.

Lattice parameters (Å, degrees): 5.562 5.562 16.685 90.00 90.00 90.00
Positions (direct):
Ca1 0.000 0.000 0.169
Ca2 0.000 0.000 0.831
Ac1 0.000 0.500 0.000
Ac2 0.000 0.500 0.339
Ac3 0.000 0.500 0.661
Ac4 0.500 0.000 0.000
Ac5 0.500 0.000 0.339
Ac6 0.500 0.000 0.661
Ac7 0.500 0.500 0.169
Ac8 0.500 0.500 0.500
Ac9 0.500 0.500 0.831
Dy1 0.000 0.000 0.500

4.
## K3Ta5O12 (GGA-PBE)

Data for an optimized crystal structure of K3Ta5O12.

Output
As for the theoretical density: 6.370 g/cm³. As for the formation energy (no corrections): -2.3911 eV per atom. The energy comes out at -8.494 eV/atom. The calculation puts the total magnetic moment at 16.3 μB/cell.

Lattice parameters (Å, degrees): 11.803 11.803 11.803 109.47 109.47 109.47
Positions (direct):
K1 0.125 0.250 0.375
K2 0.125 0.375 0.750
K3 0.250 0.375 0.125
K4 0.250 0.875 0.625
K5 0.375 0.125 0.250
K6 0.375 0.750 0.125
K7 0.625 0.250 0.875
K8 0.625 0.875 0.750
K9 0.750 0.125 0.375
K10 0.750 0.625 0.875
K11 0.875 0.625 0.250
K12 0.875 0.750 0.625
Ta1 0.000 0.000 0.000
Ta2 0.000 0.000 0.500
Ta3 0.000 0.500 0.000
Ta4 0.000 0.500 0.500
Ta5 0.125 0.750 0.875
Ta6 0.125 0.875 0.250
Ta7 0.250 0.125 0.875
Ta8 0.250 0.625 0.375
Ta9 0.375 0.250 0.625
Ta10 0.375 0.625 0.750
Ta11 0.500 0.000 0.000
Ta12 0.500 0.000 0.500
Ta13 0.500 0.500 0.000
Ta14 0.500 0.500 0.500
Ta15 0.625 0.375 0.250
Ta16 0.625 0.750 0.375
Ta17 0.750 0.375 0.625
Ta18 0.750 0.875 0.125
Ta19 0.875 0.125 0.750
Ta20 0.875 0.250 0.125
O1 0.008 0.684 0.113
O2 0.008 0.824 0.895
O3 0.070 0.676 0.684
O4 0.070 0.895 0.387
O5 0.105 0.613 0.930
O6 0.105 0.992 0.176
O7 0.113 0.008 0.684
O8 0.113 0.605 0.430
O9 0.176 0.105 0.992
O10 0.176 0.570 0.184
O11 0.184 0.176 0.570
O12 0.184 0.508 0.613
O13 0.316 0.887 0.992
O14 0.316 0.930 0.324
O15 0.324 0.316 0.930
O16 0.324 0.508 0.395
O17 0.387 0.070 0.895
O18 0.387 0.816 0.492
O19 0.395 0.324 0.508
O20 0.395 0.570 0.887
O21 0.430 0.113 0.605
O22 0.430 0.816 0.824
O23 0.492 0.387 0.816
O24 0.492 0.605 0.676
O25 0.508 0.395 0.324
O26 0.508 0.613 0.184
O27 0.570 0.184 0.176
O28 0.570 0.887 0.395
O29 0.605 0.430 0.113
O30 0.605 0.676 0.492
O31 0.613 0.184 0.508
O32 0.613 0.930 0.105
O33 0.676 0.492 0.605
O34 0.676 0.684 0.070
O35 0.684 0.070 0.676
O36 0.684 0.113 0.008
O37 0.816 0.492 0.387
O38 0.816 0.824 0.430
O39 0.824 0.430 0.816
O40 0.824 0.895 0.008
O41 0.887 0.395 0.570
O42 0.887 0.992 0.316
O43 0.895 0.008 0.824
O44 0.895 0.387 0.070
O45 0.930 0.105 0.613
O46 0.930 0.324 0.316
O47 0.992 0.176 0.105
O48 0.992 0.316 0.887